# La3RePb GGA-PBE relaxed
# - formation energy from the elements (eV/atom) = -0.09
# - total moment (μB per atom) = 0.00
# - DOS(E_F) (states/eV/f.u.) = 3.65
data_La3RePb
_space_group_name_H-M_alt 'P 1'
_space_group_IT_number 1
_cell_length_a 5.513
_cell_length_b 5.513
_cell_length_c 5.513
_cell_angle_alpha 90.00
_cell_angle_beta 90.00
_cell_angle_gamma 90.00
loop_
_space_group_symop_operation_xyz
'x,y,z'
loop_
_atom_site_label
_atom_site_type_symbol
_atom_site_fract_x
_atom_site_fract_y
_atom_site_fract_z
La1 La 0.000 0.000 0.500
La2 La 0.000 0.500 0.000
La3 La 0.500 0.000 0.000
Re1 Re 0.000 0.000 0.000
Pb1 Pb 0.500 0.500 0.500